Pr3Y5Ho3 after structural relaxation, computed with PBE.

Geometry as POSCAR:
```
Pr3Y5Ho3
1.0
9.7408 0.0000 0.0000
-4.8704 8.4358 0.0000
0.0000 0.0000 5.3717
Pr Y Ho
3 5 3
Direct
0.0000 0.3669 0.0000 Pr
0.3669 0.0000 0.0000 Pr
0.6331 0.6331 0.0000 Pr
0.0000 0.7411 0.0000 Y
0.2589 0.2589 0.0000 Y
0.3333 0.6667 0.0000 Y
0.6667 0.3333 0.0000 Y
0.7411 0.0000 0.0000 Y
0.0000 0.5399 0.5000 Ho
0.4601 0.4601 0.5000 Ho
0.5399 0.0000 0.5000 Ho
```

Summary:
The density of states at the Fermi level is 1.436 states/eV/atom. As for the space group: P-62m (189).

=====

Pr2Y3Ho4 after structural relaxation, computed with PBE.

Geometry as POSCAR:
```
Pr2Y3Ho4
1.0
8.1856 -5.8328 0.0000
8.1856 5.8328 0.0000
-0.6749 0.0000 6.1323
Pr Y Ho
4 6 8
Direct
0.0223 0.7325 0.6794 Pr
0.2675 0.9777 0.8206 Pr
0.7325 0.0223 0.1794 Pr
0.9777 0.2675 0.3206 Pr
0.1000 0.9000 0.2500 Y
0.2366 0.4346 0.4034 Y
0.4346 0.2366 0.9034 Y
0.5654 0.7634 0.0966 Y
0.7634 0.5654 0.5966 Y
0.9000 0.1000 0.7500 Y
0.0789 0.3550 0.8489 Ho
0.3143 0.5920 0.9837 Ho
0.3550 0.0789 0.3489 Ho
0.4080 0.6857 0.5163 Ho
0.5920 0.3143 0.4837 Ho
0.6450 0.9211 0.6511 Ho
0.6857 0.4080 0.0163 Ho
0.9211 0.6450 0.1511 Ho
```

Summary:
The density of states at the Fermi level is 1.438 states/eV/atom. As for the space group: C2/c (15).

=====

PrY6Ho4 after structural relaxation, computed with PBE.

Geometry as POSCAR:
```
PrY6Ho4
1.0
10.9433 0.0000 0.0000
-5.4717 9.4772 0.0000
0.0000 0.0000 3.5642
Pr Y Ho
1 6 4
Direct
0.0000 0.0000 0.0000 Pr
0.1836 0.3672 0.5000 Y
0.1836 0.8164 0.5000 Y
0.5179 0.0358 0.0000 Y
0.5179 0.4821 0.0000 Y
0.6328 0.8164 0.5000 Y
0.9642 0.4821 0.0000 Y
0.3272 0.1636 0.5000 Ho
0.3333 0.6667 0.0000 Ho
0.8364 0.1636 0.5000 Ho
0.8364 0.6728 0.5000 Ho
```

Summary:
The density of states at the Fermi level is 1.485 states/eV/atom. The offset from the most stable computed form comes out at 4.9 kJ/mol of atoms. As for the space group: P-6m2 (187).

=====

Pr4Y10Ho after structural relaxation, computed with PBE.

Geometry as POSCAR:
```
Pr4Y10Ho
1.0
-5.7104 5.7104 3.9798
5.7104 -5.7104 3.9798
5.7104 5.7104 -3.9798
Pr Y Ho
4 10 1
Direct
0.2279 0.2279 0.4558 Pr
0.2279 0.7721 0.0000 Pr
0.7721 0.2279 0.0000 Pr
0.7721 0.7721 0.5442 Pr
0.0820 0.2912 0.7908 Y
0.2500 0.7500 0.5000 Y
0.2912 0.0820 0.7908 Y
0.2912 0.5004 0.2092 Y
0.5004 0.2912 0.2092 Y
0.4996 0.7088 0.7908 Y
0.7088 0.4996 0.7908 Y
0.7088 0.9180 0.2092 Y
0.7500 0.2500 0.5000 Y
0.9180 0.7088 0.2092 Y
0.0000 0.0000 0.0000 Ho
```

Summary:
The density of states at the Fermi level is 1.527 states/eV/atom. As for the space group: I4/mmm (139).

=====

Pr4Y2Ho after structural relaxation, computed with PBE.

Geometry as POSCAR:
```
Pr4Y2Ho
1.0
0.0000 12.2666 3.2660
6.0551 0.0000 3.2660
6.0551 12.2666 0.0000
Pr Y Ho
8 4 2
Direct
0.0194 0.9806 0.1214 Pr
0.1286 0.3714 0.2306 Pr
0.3714 0.1286 0.2694 Pr
0.4560 0.6052 0.2575 Pr
0.5688 0.9925 0.6448 Pr
0.6052 0.4560 0.6812 Pr
0.9806 0.0194 0.8786 Pr
0.9925 0.5688 0.7940 Pr
0.0627 0.5439 0.0053 Y
0.2447 0.8619 0.1873 Y
0.5439 0.0627 0.3881 Y
0.8619 0.2447 0.7061 Y
0.4940 0.4940 0.5060 Ho
0.7440 0.7440 0.7560 Ho
```

Summary:
The density of states at the Fermi level is 1.552 states/eV/atom. The offset from the most stable computed form comes out at 0.0 kJ/mol of atoms. As for the space group: Fdd2 (43).

=====

Pr2YHo3 after structural relaxation, computed with PBE.

Geometry as POSCAR:
```
Pr2YHo3
1.0
11.7305 -1.7571 0.0000
11.7305 1.7571 0.0000
-3.2568 0.0000 9.7687
Pr Y Ho
4 2 6
Direct
0.0677 0.0677 0.1355 Pr
0.3095 0.3095 0.6293 Pr
0.6905 0.6905 0.3707 Pr
0.9323 0.9323 0.8645 Pr
0.3112 0.3112 0.9641 Y
0.6888 0.6888 0.0359 Y
0.0700 0.0700 0.7629 Ho
0.3058 0.3058 0.2848 Ho
0.4415 0.4415 0.5540 Ho
0.5585 0.5585 0.4460 Ho
0.6942 0.6942 0.7152 Ho
0.9300 0.9300 0.2371 Ho
```

Summary:
The density of states at the Fermi level is 1.557 states/eV/atom. The offset from the most stable computed form comes out at 2.8 kJ/mol of atoms. As for the space group: C2/m (12).

=====

Pr3Y3Ho4 after structural relaxation, computed with PBE.

Geometry as POSCAR:
```
Pr3Y3Ho4
1.0
3.7078 0.0000 0.0000
0.0000 6.6937 6.7371
0.0000 -6.6937 6.7371
Pr Y Ho
3 3 4
Direct
0.0000 0.0000 0.0000 Pr
0.0000 0.4988 0.8466 Pr
0.0000 0.8466 0.4988 Pr
0.0000 0.3468 0.3468 Y
0.5000 0.1753 0.6669 Y
0.5000 0.6669 0.1753 Y
0.5000 0.0505 0.2994 Ho
0.5000 0.2994 0.0505 Ho
0.5000 0.5470 0.5470 Ho
0.5000 0.7986 0.7986 Ho
```

Summary:
The density of states at the Fermi level is 0.790 states/eV/atom. As for the space group: Amm2 (38).

=====

Pr3Y5Ho4 after structural relaxation, computed with PBE.

Geometry as POSCAR:
```
Pr3Y5Ho4
1.0
8.0698 -2.9777 0.0000
8.0698 2.9777 0.0000
-4.1124 0.0000 8.3496
Pr Y Ho
3 5 4
Direct
0.0000 0.0000 0.0000 Pr
0.2919 0.2919 0.7715 Pr
0.7081 0.7081 0.2285 Pr
0.0743 0.0743 0.6988 Y
0.1720 0.1720 0.3889 Y
0.5000 0.5000 0.0000 Y
0.8280 0.8280 0.6111 Y
0.9257 0.9257 0.3012 Y
0.2910 0.2910 0.1246 Ho
0.4186 0.4186 0.5585 Ho
0.5814 0.5814 0.4415 Ho
0.7090 0.7090 0.8754 Ho
```

Summary:
The density of states at the Fermi level is 1.622 states/eV/atom. The offset from the most stable computed form comes out at 20.9 kJ/mol of atoms. As for the space group: C2/m (12).

=====

PrY2Ho9 after structural relaxation, computed with PBE.

Geometry as POSCAR:
```
PrY2Ho9
1.0
5.0204 0.0000 0.0000
0.0000 5.0204 0.0000
0.0000 0.0000 15.0602
Pr Y Ho
1 2 9
Direct
0.0000 0.0000 0.0000 Pr
0.0000 0.0000 0.3341 Y
0.0000 0.0000 0.6659 Y
0.0000 0.5000 0.1685 Ho
0.0000 0.5000 0.5000 Ho
0.0000 0.5000 0.8315 Ho
0.5000 0.0000 0.1685 Ho
0.5000 0.0000 0.5000 Ho
0.5000 0.0000 0.8315 Ho
0.5000 0.5000 0.0000 Ho
0.5000 0.5000 0.3349 Ho
0.5000 0.5000 0.6651 Ho
```

Summary:
The density of states at the Fermi level is 1.434 states/eV/atom. The offset from the most stable computed form comes out at 0.0 kJ/mol of atoms. As for the space group: P4/mmm (123).

=====

Pr4Y3Ho4 after structural relaxation, computed with PBE.

Geometry as POSCAR:
```
Pr4Y3Ho4
1.0
10.7131 0.0000 0.0000
0.0000 2.8615 6.0646
0.0000 -2.8615 6.0646
Pr Y Ho
4 3 4
Direct
0.0000 0.0000 0.0000 Pr
0.2072 0.7951 0.7951 Pr
0.5000 0.9235 0.9235 Pr
0.7928 0.7951 0.7951 Pr
0.0000 0.2935 0.2935 Y
0.2887 0.4521 0.4521 Y
0.7113 0.4521 0.4521 Y
0.0000 0.5918 0.5918 Ho
0.3036 0.1445 0.1445 Ho
0.5000 0.6515 0.6515 Ho
0.6964 0.1445 0.1445 Ho
```

Summary:
The density of states at the Fermi level is 1.620 states/eV/atom. The offset from the most stable computed form comes out at 10.6 kJ/mol of atoms. As for the space group: Amm2 (38).

=====

Pr3YHo7 after structural relaxation, computed with PBE.

Geometry as POSCAR:
```
Pr3YHo7
1.0
7.0807 0.0000 0.0000
-3.5403 6.1320 0.0000
0.0000 0.0000 8.7136
Pr Y Ho
3 1 7
Direct
0.1669 0.3339 0.0000 Pr
0.1669 0.8331 0.0000 Pr
0.6661 0.8331 0.0000 Pr
0.0000 0.0000 0.6594 Y
0.0017 0.5009 0.6602 Ho
0.3323 0.1661 0.3376 Ho
0.3333 0.6667 0.3396 Ho
0.4991 0.5009 0.6602 Ho
0.4991 0.9983 0.6602 Ho
0.8339 0.1661 0.3376 Ho
0.8339 0.6677 0.3376 Ho
```

Summary:
The density of states at the Fermi level is 1.533 states/eV/atom. The offset from the most stable computed form comes out at 4.9 kJ/mol of atoms. As for the space group: P3m1 (156).

=====

Pr2Y2Ho3 after structural relaxation, computed with PBE.

Geometry as POSCAR:
```
Pr2Y2Ho3
1.0
16.7843 0.0000 0.0000
0.0000 3.5293 0.0000
-3.8865 0.0000 7.8744
Pr Y Ho
4 4 6
Direct
0.0801 0.0000 0.2031 Pr
0.4199 0.5000 0.7969 Pr
0.5801 0.5000 0.2031 Pr
0.9199 0.0000 0.7969 Pr
0.1398 0.5000 0.9062 Y
0.3602 0.0000 0.0938 Y
0.6398 0.0000 0.9062 Y
0.8602 0.5000 0.0938 Y
0.0000 0.0000 0.5000 Ho
0.2202 0.0000 0.6462 Ho
0.2798 0.5000 0.3538 Ho
0.5000 0.5000 0.5000 Ho
0.7202 0.5000 0.6462 Ho
0.7798 0.0000 0.3538 Ho
```

Summary:
The density of states at the Fermi level is 1.701 states/eV/atom. The offset from the most stable computed form comes out at 0.0 kJ/mol of atoms. As for the space group: C2/m (12).

=====

PrY5Ho3 after structural relaxation, computed with PBE.

Geometry as POSCAR:
```
PrY5Ho3
1.0
8.0066 -3.3720 0.0000
8.0066 3.3720 0.0000
-4.0123 0.0000 11.1774
Pr Y Ho
2 10 6
Direct
0.2006 0.7994 0.7500 Pr
0.7994 0.2006 0.2500 Pr
0.0849 0.4751 0.7373 Y
0.1375 0.2324 0.9515 Y
0.2324 0.1375 0.4515 Y
0.3044 0.6956 0.2500 Y
0.4751 0.0849 0.2373 Y
0.5249 0.9151 0.7627 Y
0.6956 0.3044 0.7500 Y
0.7676 0.8625 0.5485 Y
0.8625 0.7676 0.0485 Y
0.9151 0.5249 0.2627 Y
0.0000 0.0000 0.0000 Ho
0.0000 0.0000 0.5000 Ho
0.3441 0.4456 0.4886 Ho
0.4456 0.3441 0.9886 Ho
0.5544 0.6559 0.0114 Ho
0.6559 0.5544 0.5114 Ho
```

Summary:
The density of states at the Fermi level is 1.602 states/eV/atom. The offset from the most stable computed form comes out at 0.0 kJ/mol of atoms. As for the space group: C2/c (15).

=====

Pr3Y6Ho after structural relaxation, computed with PBE.

Geometry as POSCAR:
```
Pr3Y6Ho
1.0
4.9895 2.8807 3.9201
-4.9895 2.8807 3.9201
0.0000 -5.7614 3.9201
Pr Y Ho
3 6 1
Direct
0.0000 0.0000 0.0000 Pr
0.2507 0.2507 0.2507 Pr
0.5013 0.5013 0.5013 Pr
0.1713 0.5038 0.8250 Y
0.3288 0.9967 0.6751 Y
0.5038 0.8250 0.1713 Y
0.6751 0.3288 0.9967 Y
0.8250 0.1713 0.5038 Y
0.9967 0.6751 0.3288 Y
0.7506 0.7506 0.7506 Ho
```

Summary:
The density of states at the Fermi level is 2.047 states/eV/atom. The offset from the most stable computed form comes out at 11.3 kJ/mol of atoms. As for the space group: R3 (146).

=====

PrY8Ho6 after structural relaxation, computed with PBE.

Geometry as POSCAR:
```
PrY8Ho6
1.0
4.5236 2.6117 6.8926
-4.5236 2.6117 6.8926
0.0000 -5.2234 6.8926
Pr Y Ho
1 8 6
Direct
0.0000 0.0000 0.0000 Pr
0.1102 0.7455 0.7191 Y
0.2545 0.2809 0.8898 Y
0.2809 0.8898 0.2545 Y
0.4233 0.4233 0.4233 Y
0.5767 0.5767 0.5767 Y
0.7191 0.1102 0.7455 Y
0.7455 0.7191 0.1102 Y
0.8898 0.2545 0.2809 Y
0.1086 0.2320 0.5380 Ho
0.2320 0.5380 0.1086 Ho
0.4620 0.8914 0.7680 Ho
0.5380 0.1086 0.2320 Ho
0.7680 0.4620 0.8914 Ho
0.8914 0.7680 0.4620 Ho
```

Summary:
The density of states at the Fermi level is 1.559 states/eV/atom. The offset from the most stable computed form comes out at 0.0 kJ/mol of atoms. As for the space group: R-3 (148).

=====

PrY8Ho6 after structural relaxation, computed with PBE.

Geometry as POSCAR:
```
PrY8Ho6
1.0
9.4346 0.0000 0.0000
-4.7173 8.1706 0.0000
0.0000 0.0000 6.5443
Pr Y Ho
1 8 6
Direct
0.0000 0.0000 0.0000 Pr
0.0272 0.3390 0.4021 Y
0.3118 0.9728 0.4021 Y
0.3333 0.6667 0.6743 Y
0.3390 0.3118 0.5979 Y
0.6610 0.6882 0.4021 Y
0.6667 0.3333 0.3257 Y
0.6882 0.0272 0.5979 Y
0.9728 0.6610 0.5979 Y
0.0921 0.6786 0.0916 Ho
0.3214 0.4135 0.0916 Ho
0.4135 0.0921 0.9084 Ho
0.5865 0.9079 0.0916 Ho
0.6786 0.5865 0.9084 Ho
0.9079 0.3214 0.9084 Ho
```

Summary:
The density of states at the Fermi level is 1.500 states/eV/atom. The offset from the most stable computed form comes out at 9.5 kJ/mol of atoms. As for the space group: P-3 (147).

=====

Pr5YHo6 after structural relaxation, computed with PBE.

Geometry as POSCAR:
```
Pr5YHo6
1.0
3.1325 -5.4239 0.0000
3.1325 5.4239 0.0000
-2.0804 0.0000 11.6846
Pr Y Ho
5 1 6
Direct
0.0000 0.0000 0.0000 Pr
0.1664 0.8336 0.5000 Pr
0.3332 0.6668 0.0000 Pr
0.6668 0.3332 0.0000 Pr
0.8336 0.1664 0.5000 Pr
0.5000 0.5000 0.5000 Y
0.0842 0.4175 0.2508 Ho
0.2494 0.2494 0.7494 Ho
0.4175 0.0842 0.2508 Ho
0.5825 0.9158 0.7492 Ho
0.7506 0.7506 0.2506 Ho
0.9158 0.5825 0.7492 Ho
```

Summary:
The density of states at the Fermi level is 1.160 states/eV/atom. The offset from the most stable computed form comes out at 0.0 kJ/mol of atoms. As for the space group: C2/m (12).

=====

Pr9Y2Ho3 after structural relaxation, computed with PBE.

Geometry as POSCAR:
```
Pr9Y2Ho3
1.0
9.0971 0.0000 0.0000
-4.5486 7.8784 0.0000
0.0000 0.0000 14.2002
Pr Y Ho
18 4 6
Direct
0.0790 0.4822 0.2500 Pr
0.1322 0.7280 0.0426 Pr
0.1322 0.7280 0.4574 Pr
0.2720 0.4042 0.0426 Pr
0.2720 0.4042 0.4574 Pr
0.4032 0.9210 0.2500 Pr
0.4042 0.1322 0.5426 Pr
0.4042 0.1322 0.9574 Pr
0.4822 0.4032 0.7500 Pr
0.5178 0.5968 0.2500 Pr
0.5958 0.8678 0.0426 Pr
0.5958 0.8678 0.4574 Pr
0.5968 0.0790 0.7500 Pr
0.7280 0.5958 0.5426 Pr
0.7280 0.5958 0.9574 Pr
0.8678 0.2720 0.5426 Pr
0.8678 0.2720 0.9574 Pr
0.9210 0.5178 0.7500 Pr
0.3333 0.6667 0.6422 Y
0.3333 0.6667 0.8578 Y
0.6667 0.3333 0.1422 Y
0.6667 0.3333 0.3578 Y
0.0777 0.2487 0.7500 Ho
0.1710 0.9223 0.7500 Ho
0.2487 0.1710 0.2500 Ho
0.7513 0.8290 0.7500 Ho
0.8290 0.0777 0.2500 Ho
0.9223 0.7513 0.2500 Ho
```

Summary:
The density of states at the Fermi level is 1.347 states/eV/atom. As for the space group: P6_3/m (176).

=====

Pr2Y3Ho2 after structural relaxation, computed with PBE.

Geometry as POSCAR:
```
Pr2Y3Ho2
1.0
3.5972 0.0000 0.0000
-1.7966 7.8532 0.0000
-0.0137 -3.3505 8.1611
Pr Y Ho
2 3 2
Direct
0.2149 0.4296 0.1445 Pr
0.7851 0.5704 0.8555 Pr
0.3591 0.7179 0.5706 Y
0.5000 0.0000 0.0000 Y
0.6409 0.2821 0.4294 Y
0.0701 0.1401 0.7116 Ho
0.9299 0.8599 0.2884 Ho
```

Summary:
The density of states at the Fermi level is 1.324 states/eV/atom. The offset from the most stable computed form comes out at 0.0 kJ/mol of atoms. As for the space group: P-1 (2).

=====

Number 1: formation energy 806.8 meV/atom. Number 2: formation energy 93.5 meV/atom. Number 3: formation energy 167.4 meV/atom. Number 4: formation energy 268.3 meV/atom. Number 5: formation energy 58.5 meV/atom. Number 6: formation energy 121.8 meV/atom. Number 7: formation energy 84.6 meV/atom. Number 8: formation energy 236.6 meV/atom. Number 9: formation energy 24.9 meV/atom. Number 10: formation energy 145.4 meV/atom. Number 11: formation energy 174.1 meV/atom. Number 12: formation energy 128.0 meV/atom. Number 13: formation energy 223.1 meV/atom. Number 14: formation energy 258.4 meV/atom. Number 15: formation energy 136.3 meV/atom. Number 16: formation energy 235.1 meV/atom. Number 17: formation energy 15.0 meV/atom. Number 18: formation energy 236.9 meV/atom. Number 19: formation energy 18.9 meV/atom.